{"formula": "GdYIn2", "functional": "GGA-PBE", "state": "relaxed", "crystal_system": "tetragonal", "lattice_angstrom": [[3.547, 0.000, 0.000], [0.000, 3.547, 0.000], [0.000, 0.000, 8.489]], "species": ["Gd", "Y", "In", "In"], "fractional_positions": [[0.000, 0.000, 0.000], [0.000, 0.000, 0.500], [0.500, 0.500, 0.252], [0.500, 0.500, 0.748]]}

=====

{"formula": "GdY2In", "functional": "GGA-PBE", "state": "relaxed", "crystal_system": "tetragonal", "lattice_angstrom": [[4.870, 0.000, 0.000], [0.000, 4.870, 0.000], [0.000, 0.000, 4.840]], "species": ["Gd", "Y", "Y", "In"], "fractional_positions": [[0.000, 0.000, 0.000], [0.000, 0.500, 0.500], [0.500, 0.000, 0.500], [0.500, 0.500, 0.000]]}

=====

{"formula": "GdZnIn", "functional": "GGA-PBE", "state": "relaxed", "crystal_system": "hexagonal", "lattice_angstrom": [[5.134, 0.000, 0.000], [-2.567, 4.447, 0.000], [0.000, 0.000, 6.229]], "species": ["Gd", "Gd", "Zn", "Zn", "In", "In"], "fractional_positions": [[0.333, 0.667, 0.250], [0.667, 0.333, 0.750], [0.000, 0.000, 0.000], [0.000, 0.000, 0.500], [0.333, 0.667, 0.750], [0.667, 0.333, 0.250]]}

=====

{"formula": "GdZnIn", "functional": "GGA-PBE", "state": "relaxed", "crystal_system": "hexagonal", "lattice_angstrom": [[4.672, 0.000, 0.000], [-2.336, 4.046, 0.000], [0.000, 0.000, 7.374]], "species": ["Gd", "Gd", "Zn", "Zn", "In", "In"], "fractional_positions": [[0.000, 0.000, 0.000], [0.000, 0.000, 0.500], [0.333, 0.667, 0.302], [0.667, 0.333, 0.802], [0.333, 0.667, 0.725], [0.667, 0.333, 0.225]]}

=====

{"formula": "GdZnIn", "functional": "GGA-PBE", "state": "relaxed", "crystal_system": "orthorhombic", "lattice_angstrom": [[7.368, 0.000, 0.000], [0.000, 4.681, 0.000], [0.000, 0.000, 8.065]], "species": ["Gd", "Gd", "Gd", "Gd", "Zn", "Zn", "Zn", "Zn", "In", "In", "In", "In"], "fractional_positions": [[0.003, 0.250, 0.225], [0.497, 0.750, 0.725], [0.503, 0.250, 0.275], [0.997, 0.750, 0.775], [0.201, 0.750, 0.416], [0.299, 0.250, 0.916], [0.701, 0.750, 0.084], [0.799, 0.250, 0.584], [0.218, 0.250, 0.587], [0.282, 0.750, 0.087], [0.718, 0.250, 0.913], [0.782, 0.750, 0.413]]}

=====

{"formula": "GdZnIn", "functional": "GGA-PBE", "state": "relaxed", "crystal_system": "trigonal", "lattice_angstrom": [[4.675, 0.000, 0.000], [-2.337, 4.048, 0.000], [0.000, 0.000, 7.396]], "species": ["Gd", "Gd", "Zn", "Zn", "In", "In"], "fractional_positions": [[0.000, 0.000, 0.000], [0.000, 0.000, 0.500], [0.333, 0.667, 0.305], [0.667, 0.333, 0.803], [0.333, 0.667, 0.725], [0.667, 0.333, 0.225]]}

=====

{"formula": "GdZnIn", "functional": "GGA-PBE", "state": "relaxed", "crystal_system": "hexagonal", "lattice_angstrom": [[4.678, 0.000, 0.000], [-2.339, 4.051, 0.000], [0.000, 0.000, 7.345]], "species": ["Gd", "Gd", "Zn", "Zn", "In", "In"], "fractional_positions": [[0.000, 0.000, 0.000], [0.000, 0.000, 0.500], [0.333, 0.667, 0.250], [0.667, 0.333, 0.750], [0.333, 0.667, 0.750], [0.667, 0.333, 0.250]]}

=====

{"formula": "GdZr2In", "functional": "GGA-PBE", "state": "relaxed", "crystal_system": "tetragonal", "lattice_angstrom": [[4.593, 0.000, 0.000], [0.000, 4.593, 0.000], [0.000, 0.000, 4.569]], "species": ["Gd", "Zr", "Zr", "In"], "fractional_positions": [[0.000, 0.000, 0.000], [0.000, 0.500, 0.500], [0.500, 0.000, 0.500], [0.500, 0.500, 0.000]]}

=====

{"formula": "Gd2ZrIn", "functional": "GGA-PBE", "state": "relaxed", "crystal_system": "tetragonal", "lattice_angstrom": [[4.702, 0.000, 0.000], [0.000, 4.702, 0.000], [0.000, 0.000, 4.745]], "species": ["Gd", "Gd", "Zr", "In"], "fractional_positions": [[0.000, 0.500, 0.000], [0.500, 0.000, 0.000], [0.000, 0.000, 0.500], [0.500, 0.500, 0.500]]}

=====

{"formula": "Gd5Ir2", "functional": "GGA-PBE", "state": "relaxed", "e_form_ev_per_atom": -0.62, "crystal_system": "monoclinic", "lattice_angstrom": [[8.023, -3.263, 0.000], [8.023, 3.263, 0.000], [-0.885, 0.000, 7.168]], "species": ["Gd", "Gd", "Gd", "Gd", "Gd", "Gd", "Gd", "Gd", "Gd", "Gd", "Ir", "Ir", "Ir", "Ir"], "fractional_positions": [[0.071, 0.929, 0.750], [0.151, 0.288, 0.316], [0.288, 0.151, 0.816], [0.294, 0.521, 0.081], [0.479, 0.706, 0.419], [0.521, 0.294, 0.581], [0.706, 0.479, 0.919], [0.712, 0.849, 0.184], [0.849, 0.712, 0.684], [0.929, 0.071, 0.250], [0.101, 0.677, 0.425], [0.323, 0.899, 0.075], [0.677, 0.101, 0.925], [0.899, 0.323, 0.575]]}

=====

{"formula": "Gd2Ir", "functional": "GGA-PBE", "state": "relaxed", "e_form_ev_per_atom": -0.61, "crystal_system": "hexagonal", "lattice_angstrom": [[7.733, 0.000, 0.000], [-3.867, 6.697, 0.000], [0.000, 0.000, 4.221]], "species": ["Gd", "Gd", "Gd", "Gd", "Gd", "Gd", "Ir", "Ir", "Ir"], "fractional_positions": [[0.000, 0.415, 0.000], [0.000, 0.744, 0.500], [0.256, 0.256, 0.500], [0.415, 0.000, 0.000], [0.585, 0.585, 0.000], [0.744, 0.000, 0.500], [0.000, 0.000, 0.000], [0.333, 0.667, 0.500], [0.667, 0.333, 0.500]]}

=====

{"formula": "Gd2Ir", "functional": "GGA-PBE", "state": "relaxed", "e_form_ev_per_atom": 0.71, "crystal_system": "cubic", "lattice_angstrom": [[0.000, 4.112, 4.112], [4.112, 0.000, 4.112], [4.112, 4.112, 0.000]], "species": ["Gd", "Gd", "Gd", "Gd", "Ir", "Ir"], "fractional_positions": [[0.000, 0.000, 0.000], [0.000, 0.000, 0.500], [0.000, 0.500, 0.000], [0.500, 0.000, 0.000], [0.375, 0.375, 0.375], [0.625, 0.625, 0.625]]}

=====

{"formula": "Gd2Ir", "functional": "GGA-PBE", "state": "relaxed", "e_form_ev_per_atom": 0.71, "crystal_system": "cubic", "lattice_angstrom": [[0.000, 6.002, 6.002], [6.002, 0.000, 6.002], [6.002, 6.002, 0.000]], "species": ["Gd", "Gd", "Gd", "Gd", "Ir", "Ir"], "fractional_positions": [[0.000, 0.000, 0.000], [0.000, 0.000, 0.500], [0.000, 0.500, 0.000], [0.500, 0.000, 0.000], [0.125, 0.125, 0.125], [0.875, 0.875, 0.875]]}

=====

{"formula": "Gd5Ir", "functional": "GGA-PBE", "state": "relaxed", "e_form_ev_per_atom": -0.34, "crystal_system": "orthorhombic", "lattice_angstrom": [[7.066, 0.000, 0.000], [0.000, 15.641, 0.000], [0.000, 0.000, 6.419]], "species": ["Gd", "Gd", "Gd", "Gd", "Gd", "Gd", "Gd", "Gd", "Gd", "Gd", "Gd", "Gd", "Gd", "Gd", "Gd", "Gd", "Gd", "Gd", "Gd", "Gd", "Ir", "Ir", "Ir", "Ir"], "fractional_positions": [[0.040, 0.136, 0.175], [0.040, 0.364, 0.175], [0.109, 0.750, 0.359], [0.179, 0.058, 0.658], [0.179, 0.442, 0.658], [0.321, 0.558, 0.158], [0.321, 0.942, 0.158], [0.391, 0.250, 0.859], [0.460, 0.636, 0.675], [0.460, 0.864, 0.675], [0.540, 0.136, 0.325], [0.540, 0.364, 0.325], [0.609, 0.750, 0.141], [0.679, 0.058, 0.842], [0.679, 0.442, 0.842], [0.821, 0.558, 0.342], [0.821, 0.942, 0.342], [0.891, 0.250, 0.641], [0.960, 0.636, 0.825], [0.960, 0.864, 0.825], [0.243, 0.250, 0.447], [0.257, 0.750, 0.947], [0.743, 0.250, 0.053], [0.757, 0.750, 0.553]]}

=====

{"formula": "LaGd2Mg3Ir3", "functional": "GGA-PBE", "state": "relaxed", "crystal_system": "orthorhombic", "lattice_angstrom": [[4.119, 0.000, 0.000], [0.000, 6.363, 3.695], [0.000, -6.363, 3.695]], "species": ["La", "Gd", "Gd", "Mg", "Mg", "Mg", "Ir", "Ir", "Ir"], "fractional_positions": [[0.000, 0.000, 0.000], [0.000, 0.414, 0.824], [0.000, 0.824, 0.414], [0.500, 0.174, 0.419], [0.500, 0.419, 0.174], [0.500, 0.653, 0.653], [0.000, 0.421, 0.421], [0.500, 0.085, 0.747], [0.500, 0.747, 0.085]]}

=====

{"formula": "La2GdMg3Ir2Pd", "functional": "GGA-PBE", "state": "relaxed", "crystal_system": "orthorhombic", "lattice_angstrom": [[4.108, 0.000, 0.000], [0.000, 6.536, 3.751], [0.000, -6.536, 3.751]], "species": ["La", "La", "Gd", "Mg", "Mg", "Mg", "Ir", "Ir", "Pd"], "fractional_positions": [[0.000, 0.211, 0.789], [0.000, 0.789, 0.211], [0.000, 0.627, 0.627], [0.500, 0.216, 0.455], [0.500, 0.455, 0.216], [0.500, 0.964, 0.964], [0.500, 0.549, 0.876], [0.500, 0.876, 0.549], [0.000, 0.218, 0.218]]}

=====

{"formula": "LaGd2Mg3Ir2Pd", "functional": "GGA-PBE", "state": "relaxed", "crystal_system": "orthorhombic", "lattice_angstrom": [[4.069, 0.000, 0.000], [0.000, 6.446, 3.738], [0.000, -6.446, 3.738]], "species": ["La", "Gd", "Gd", "Mg", "Mg", "Mg", "Ir", "Ir", "Pd"], "fractional_positions": [[0.000, 0.000, 0.000], [0.000, 0.421, 0.837], [0.000, 0.837, 0.421], [0.500, 0.176, 0.426], [0.500, 0.426, 0.176], [0.500, 0.664, 0.664], [0.500, 0.091, 0.753], [0.500, 0.753, 0.091], [0.000, 0.427, 0.427]]}

=====

{"formula": "La2GdMg3Ir2Pt", "functional": "GGA-PBE", "state": "relaxed", "crystal_system": "orthorhombic", "lattice_angstrom": [[4.120, 0.000, 0.000], [0.000, 6.527, 3.735], [0.000, -6.527, 3.735]], "species": ["La", "La", "Gd", "Mg", "Mg", "Mg", "Ir", "Ir", "Pt"], "fractional_positions": [[0.000, 0.209, 0.791], [0.000, 0.791, 0.209], [0.000, 0.622, 0.622], [0.500, 0.215, 0.453], [0.500, 0.453, 0.215], [0.500, 0.964, 0.964], [0.500, 0.547, 0.874], [0.500, 0.874, 0.547], [0.000, 0.217, 0.217]]}

=====

{"formula": "LaGdP2Ir2O2", "functional": "GGA-PBE", "state": "relaxed", "crystal_system": "tetragonal", "lattice_angstrom": [[3.991, 0.000, 0.000], [0.000, 3.991, 0.000], [0.000, 0.000, 8.313]], "species": ["La", "Gd", "P", "P", "Ir", "Ir", "O", "O"], "fractional_positions": [[0.000, 0.000, 0.000], [0.500, 0.500, 0.716], [0.000, 0.000, 0.520], [0.500, 0.500, 0.207], [0.000, 0.500, 0.364], [0.500, 0.000, 0.364], [0.000, 0.500, 0.848], [0.500, 0.000, 0.848]]}

=====

{"formula": "LaGd2Zn3Ir2Pt", "functional": "GGA-PBE", "state": "relaxed", "e_form_ev_per_atom": -0.76, "crystal_system": "orthorhombic", "lattice_angstrom": [[3.969, 0.000, 0.000], [0.000, 6.285, 3.642], [0.000, -6.285, 3.642]], "species": ["La", "Gd", "Gd", "Zn", "Zn", "Zn", "Ir", "Ir", "Pt"], "fractional_positions": [[0.000, 0.000, 0.000], [0.000, 0.415, 0.826], [0.000, 0.826, 0.415], [0.500, 0.170, 0.422], [0.500, 0.422, 0.170], [0.500, 0.657, 0.657], [0.500, 0.086, 0.747], [0.500, 0.747, 0.086], [0.000, 0.420, 0.420]]}

=====

| no. | V (Å³/atom) | energy (eV per cell) | M_tot (μB/cell) |
| --- | --- | --- | --- |
| 1 | 26.70 | -18.56 | 0.0 |
| 2 | 28.70 | -21.43 | 0.6 |
| 3 | 23.70 | -18.81 | 0.0 |
| 4 | 23.24 | -20.19 | 0.0 |
| 5 | 23.18 | -40.00 | 0.5 |
| 6 | 23.33 | -20.19 | 0.0 |
| 7 | 23.20 | -19.98 | 0.2 |
| 8 | 24.10 | -25.20 | 0.0 |
| 9 | 26.22 | -21.35 | 0.0 |
| 10 | 26.81 | -90.66 | 0.0 |
| 11 | 24.29 | -59.96 | 0.0 |
| 12 | 23.17 | -32.08 | 0.0 |
| 13 | 72.08 | -32.08 | 0.0 |
| 14 | 29.56 | -136.65 | 0.0 |
| 15 | 21.53 | -51.30 | 0.0 |
| 16 | 22.38 | -48.04 | 0.0 |
| 17 | 21.79 | -47.85 | 0.0 |
| 18 | 22.32 | -49.67 | 0.0 |
| 19 | 16.55 | -63.92 | 0.0 |
| 20 | 20.19 | -48.59 | 0.0 |